No. 1
A geometry-optimized ThTc structure. Source: the Alexandria database, functional PBE.

Unit cell a=4.050 b=11.841 c=3.861 alpha=90.00 beta=90.00 gamma=90.00
Atoms (fractional coordinates):
Th 0.000 0.139 0.250
Th 0.000 0.861 0.750
Th 0.500 0.361 0.750
Th 0.500 0.639 0.250
Tc 0.000 0.418 0.250
Tc 0.000 0.582 0.750
Tc 0.500 0.082 0.750
Tc 0.500 0.918 0.250

Output
Its crystal system is orthorhombic. The energy of formation from the pure elements comes out at -0.052 eV/atom. As for the magnetization: 0.0 μB/cell. The density of states at the Fermi level comes out at 13.007 states/eV/cell.

---

No. 2
A geometry-optimized IrRu4Pt structure. Source: the Alexandria database, functional PBE.

Unit cell a=5.040 b=5.040 c=5.040 alpha=60.00 beta=60.00 gamma=60.00
Atoms (fractional coordinates):
Ir 0.000 0.000 0.000
Ru 0.375 0.375 0.375
Ru 0.375 0.375 0.875
Ru 0.375 0.875 0.375
Ru 0.875 0.375 0.375
Pt 0.750 0.750 0.750

Output
Its crystal system is cubic. The energy of formation from the pure elements comes out at 0.604 eV/atom. As for the magnetization: 0.0 μB/cell. The density of states at the Fermi level comes out at 10.846 states/eV/cell. As for the polymorph energy (0 for the lowest one): 236 meV per atom.

---

No. 3
A geometry-optimized Np2Al12Ir7 structure. Source: the Alexandria database, functional PBE.

Unit cell a=9.892 b=9.892 c=4.075 alpha=90.00 beta=90.00 gamma=120.00
Atoms (fractional coordinates):
Np 0.000 0.000 0.000
Np 0.333 0.667 0.500
Al 0.018 0.726 0.500
Al 0.154 0.390 0.000
Al 0.236 0.846 0.000
Al 0.274 0.292 0.500
Al 0.376 0.176 0.000
Al 0.537 0.134 0.500
Al 0.597 0.463 0.500
Al 0.610 0.764 0.000
Al 0.708 0.982 0.500
Al 0.800 0.624 0.000
Al 0.824 0.200 0.000
Al 0.866 0.403 0.500
Ir 0.026 0.560 0.000
Ir 0.237 0.009 0.500
Ir 0.440 0.466 0.000
Ir 0.534 0.974 0.000
Ir 0.667 0.333 0.000
Ir 0.773 0.763 0.500
Ir 0.991 0.227 0.500

Output
Its crystal system is hexagonal. The energy of formation from the pure elements comes out at -0.694 eV/atom. As for the magnetization: 7.1 μB/cell. The density of states at the Fermi level comes out at 20.875 states/eV/cell.

---

No. 4
A geometry-optimized LaMgNi2Mo structure. Source: the Alexandria database, functional PBE.

Unit cell a=4.545 b=4.545 c=5.309 alpha=90.00 beta=90.00 gamma=90.00
Atoms (fractional coordinates):
La 0.000 0.000 0.000
Mg 0.000 0.000 0.500
Ni 0.000 0.500 0.000
Ni 0.500 0.000 0.000
Mo 0.500 0.500 0.500

Output
Its crystal system is tetragonal. The energy of formation from the pure elements comes out at 1.704 eV/atom. As for the magnetization: 0.0 μB/cell. The density of states at the Fermi level comes out at 6.446 states/eV/cell.

---

> Among the records above, which one has the highest energy of formation from the pure elements?

LaMgNi2Mo

---

> The highest magnetization belongs to which entry?

Np2Al12Ir7